(1)
Below is an optimized crystal structure of AcMgTl, with properties calculated at the PBE level.

Summary:
* electronic total energy: -8.56 eV per formula unit
* E above lowest polymorph: 0.51 eV per formula unit
* formation enthalpy at 0 K: -164.8 meV/atom
* D(E_F): 0.771 states/eV per atom
* total magnetic moment: 0.00 μB/f.u.

POSCAR file:
```
AcMgTl
1.0
-3.1978 -1.8167 1.0117
1.3654 -3.2342 -1.4917
3.5471 1.0352 5.8794
Mg Ac Tl
1 1 1
direct
0.9263 0.9263 0.8526 Mg
0.6182 0.6182 0.2364 Ac
0.3055 0.3055 0.6110 Tl
```

(2)
Below is an optimized crystal structure of Mg6ZnGa3, with properties calculated at the PBE level.

Summary:
* electronic total energy: -20.59 eV per formula unit
* formation enthalpy at 0 K: -66.4 meV/atom
* D(E_F): 0.336 states/eV per atom
* total magnetic moment: 0.00 μB/f.u.

POSCAR file:
```
Mg6ZnGa3
1.0
-2.7813 1.8980 7.4520
-4.9613 -1.9615 -1.3521
2.3701 -8.1802 3.1705
Mg Zn Ga
12 2 6
direct
0.6751 0.0731 0.9256 Mg
0.6695 0.0730 0.5561 Mg
0.8586 0.2500 0.2514 Mg
0.1414 0.7500 0.7486 Mg
0.3305 0.9270 0.4439 Mg
0.3249 0.9269 0.0744 Mg
0.1751 0.4269 0.4256 Mg
0.1695 0.4270 0.0561 Mg
0.3586 0.2500 0.7514 Mg
0.6414 0.7500 0.2486 Mg
0.8305 0.5730 0.9439 Mg
0.8249 0.5731 0.5744 Mg
0.5000 0.5000 0.5000 Zn
0.0000 0.0000 0.0000 Zn
0.4972 0.7509 0.7439 Ga
0.5000 0.5000 0.0000 Ga
0.5028 0.2491 0.2561 Ga
0.9972 0.7491 0.2439 Ga
0.0000 0.0000 0.5000 Ga
0.0028 0.2509 0.7561 Ga
```

(3)
Below is an optimized crystal structure of KSr4Ca, with properties calculated at the PBE level.

Summary:
* electronic total energy: -8.78 eV per formula unit
* formation enthalpy at 0 K: 174.7 meV/atom
* D(E_F): 1.020 states/eV per atom
* total magnetic moment: 0.00 μB/f.u.

POSCAR file:
```
KSr4Ca
1.0
0.0000 5.5987 5.5987
5.5987 0.0000 5.5987
5.5987 5.5987 0.0000
K Sr Ca
1 4 1
direct
0.0000 0.0000 0.0000 K
0.8732 0.3756 0.3756 Sr
0.3756 0.3756 0.8732 Sr
0.3756 0.8732 0.3756 Sr
0.3756 0.3756 0.3756 Sr
0.7500 0.7500 0.7500 Ca
```

(4)
Below is an optimized crystal structure of LaDyCI, with properties calculated at the PBE level.

Summary:
* electronic total energy: -23.22 eV per formula unit
* D(E_F): 0.608 states/eV per atom
* total magnetic moment: 0.00 μB/f.u.

POSCAR file:
```
LaDyCI
1.0
-2.0890 3.1505 0.6422
-0.4044 -3.0645 2.2735
7.0967 1.6553 3.4952
La Dy C I
1 1 1 1
direct
0.5214 0.1584 0.6949 La
0.0847 0.9403 0.0404 Dy
0.3159 0.5560 0.8873 C
0.9559 0.3761 0.3470 I
```

(5)
Below is an optimized crystal structure of TlSn4Au4, with properties calculated at the PBE level.

Summary:
* electronic total energy: -32.48 eV per formula unit
* formation enthalpy at 0 K: -110.5 meV/atom
* D(E_F): 0.459 states/eV per atom
* total magnetic moment: 0.00 μB/f.u.

POSCAR file:
```
TlSn4Au4
1.0
7.2013 0.0000 0.0000
0.0000 7.2013 0.0000
0.0000 0.0000 9.0485
Tl Sn Au
2 8 8
direct
0.0000 0.0000 0.0000 Tl
0.5000 0.5000 0.5000 Tl
0.2518 0.5000 0.8565 Sn
0.7482 0.5000 0.8565 Sn
0.5000 0.7482 0.1435 Sn
0.5000 0.2518 0.1435 Sn
0.0000 0.7518 0.3565 Sn
0.0000 0.2482 0.3565 Sn
0.2482 0.0000 0.6435 Sn
0.7518 0.0000 0.6435 Sn
0.5000 0.8014 0.8361 Au
0.5000 0.1986 0.8361 Au
0.8014 0.5000 0.1639 Au
0.1986 0.5000 0.1639 Au
0.3014 0.0000 0.3361 Au
0.6986 0.0000 0.3361 Au
0.0000 0.3014 0.6639 Au
0.0000 0.6986 0.6639 Au
```

(6)
Below is an optimized crystal structure of TaGaPd4, with properties calculated at the PBE level.

Summary:
* electronic total energy: -37.60 eV per formula unit
* formation enthalpy at 0 K: -324.3 meV/atom
* D(E_F): 0.433 states/eV per atom
* total magnetic moment: 0.00 μB/f.u.

POSCAR file:
```
TaGaPd4
1.0
-2.0045 4.4256 1.1647
-2.4658 0.2236 -5.0936
-4.3628 -5.6101 3.0935
Ta Ga Pd
2 2 8
direct
0.1148 0.7500 0.0000 Ta
0.8852 0.2500 0.0000 Ta
0.5000 0.5000 0.5000 Ga
0.0000 0.0000 0.5000 Ga
0.2584 0.0988 0.3015 Pd
0.0431 0.5988 0.3015 Pd
0.6806 0.9284 0.1548 Pd
0.4742 0.4284 0.1548 Pd
0.3194 0.0716 0.8452 Pd
0.5258 0.5716 0.8452 Pd
0.7416 0.9012 0.6985 Pd
0.9569 0.4012 0.6985 Pd
```

(7)
Below is an optimized crystal structure of ReTcSb2, with properties calculated at the PBE level.

Summary:
* electronic total energy: -28.12 eV per formula unit
* E above lowest polymorph: 2.38 eV per formula unit
* D(E_F): 0.978 states/eV per atom
* total magnetic moment: 0.00 μB/f.u.

POSCAR file:
```
ReTcSb2
1.0
5.0839 -0.0006 0.0000
1.5548 4.8403 0.0000
-3.3194 -2.4198 2.9954
Re Sb Tc
1 2 1
direct
0.7500 0.2500 0.5000 Re
0.0000 0.0000 0.0000 Sb
0.2500 0.7500 0.5000 Sb
0.5000 0.5000 0.0000 Tc
```

(8)
Below is an optimized crystal structure of Sr3HIr, with properties calculated at the PBE level.

Summary:
* electronic total energy: -17.26 eV per formula unit
* E above lowest polymorph: 0.00 eV per formula unit
* D(E_F): 0.554 states/eV per atom
* total magnetic moment: 0.00 μB/f.u.

POSCAR file:
```
Sr3HIr
1.0
-3.3027 3.1750 -1.9935
-2.7621 -3.8572 -1.5671
-2.5349 0.0661 4.3050
Sr Ir H
3 1 1
direct
0.0000 0.5000 0.0000 Sr
0.0000 0.0000 0.5000 Sr
0.5000 0.0000 0.0000 Sr
0.5000 0.5000 0.5000 Ir
0.0000 0.0000 0.0000 H
```